Density functional theory data (PBE) for CuBSbO5 after structural relaxation.

Cell: 6.8955 7.8912 7.2525 Å, 90.00 118.29 90.00°
Last column: nearest neighbours and their distance in Å.
Space group C2/c (No. 15)
Unique sites:
1 Cu 0.0000 0.1487 0.2500 [4 per cell]  3 O 1.91-1.92
2 B 0.0000 0.1782 0.7500 [4 per cell]  4 O 1.45-1.54
3 Sb 0.0000 0.5000 0.0000 [4 per cell]  6 O 1.97-2.04
4 O 0.0000 0.3908 0.2500 [4 per cell]  1 Cu 1.91, 2 Sb 2.01
5 O 0.0828 0.2747 0.6316 [8 per cell]  1 B 1.45
6 O 0.1734 0.0477 0.8890 [8 per cell]  1 B 1.54

Summary:
As for the final energy: -6.365 eV per atom.